A geometry-optimized InSiAu structure. Source: Alexandria, functional PBE.

a b c (Å): 4.1817 4.1817 7.0937
angles (deg): 90.00 90.00 90.00
Closest atoms and distances in Å follow each position.
Space group P4/nmm (No. 129, origin choice 2)
Unique sites:
1 In 0.2500 0.7500 0.0000 x2  4 In 2.96, 4 Au 2.97, 4 Si 3.29
2 Si 0.2500 0.2500 0.3586 x2  1 Au 2.44
3 Au 0.2500 0.2500 0.7022 x2  1 Si 2.44

Results
M_tot in Bohr magnetons per cell: 0.0
Energy relative to the elements, uncorrected in kJ/mol of formula units: 74
Calculated density in Mg/m³: 9.10



A geometry-optimized Nd2Pd5Au4 structure. Source: Alexandria, functional PBE.

a b c (Å): 5.5539 9.2104 17.8787
angles (deg): 90.00 90.00 90.00
Closest atoms and distances in Å follow each position.
Space group Fmmm (No. 69)
Unique sites:
1 Nd 0.0000 0.0000 0.1282 x8  6 Au 3.12-3.15, 4 Pd 3.46
2 Pd 0.0000 0.0000 0.5000 x4  4 Pd 2.69, 4 Au 2.73
3 Pd 0.2500 0.2500 0.0000 x8  4 Pd 2.69-2.78, 4 Au 2.80
4 Pd 0.2500 0.2500 0.2500 x8  4 Au 2.71, 2 Pd 2.78
5 Au 0.0000 0.1611 0.3719 x16  5 Pd 2.71-2.80, 1 Au 2.97

Results
Calculated formation energy in meV/atom: -503
M_tot in Bohr magnetons per cell: 0.0
Calculated density in Mg/m³: 11.68



A geometry-optimized Y4AlBr structure. Source: Alexandria, functional PBE.

a b c (Å): 9.0031 9.0031 9.0031
angles (deg): 90.00 90.00 90.00
Closest atoms and distances in Å follow each position.
Space group F-43m (No. 216)
Unique sites:
1 Y 0.1229 0.1229 0.1229 x16  6 Y 3.13-3.24
2 Al 0.2500 0.2500 0.7500 x4  12 Y 3.73, 4 Br 3.90
3 Br 0.0000 0.0000 0.5000 x4  12 Y 3.74, 4 Al 3.90

Results
M_tot in Bohr magnetons per cell: 0.0
Energy relative to the elements, uncorrected in kJ/mol of formula units: 174
Calculated density in Mg/m³: 4.21



A geometry-optimized Rb2Ce3Br8 structure. Source: Alexandria, functional PBE.

a b c (Å): 17.6153 8.4735 7.0686
angles (deg): 90.00 103.00 90.00
Closest atoms and distances in Å follow each position.
Space group C2/m (No. 12)
Unique sites:
1 Rb 0.2400 0.0000 0.1710 x4  6 Br 3.36-3.50
2 Ce 0.0000 0.2772 0.5000 x4  6 Br 3.02-3.06
3 Ce 0.0000 0.5000 0.0000 x2  6 Br 3.01-3.08
4 Br 0.0966 0.0000 0.4144 x4  2 Ce 3.04, 1 Rb 3.36
5 Br 0.1088 0.2574 0.8960 x8  2 Ce 3.01-3.02
6 Br 0.1200 0.5000 0.3914 x4  3 Ce 3.06-3.08

Results
M_tot in Bohr magnetons per cell: 12.1
Energy relative to the elements, uncorrected in kJ/mol of formula units: -2074
Calculated density in Mg/m³: 3.98



A geometry-optimized Ac2PmNi structure. Source: Alexandria, functional PBE.

a b c (Å): 3.7496 3.7496 9.2376
angles (deg): 90.00 90.00 90.00
Closest atoms and distances in Å follow each position.
Space group P4/mmm (No. 123)
Unique sites:
1 Ac 0.0000 0.0000 0.1919 x2  4 Ni 3.19, 1 Ac 3.55
2 Pm 0.5000 0.5000 0.5000 x1  4 Pm 3.75, 8 Ac 3.89
3 Ni 0.5000 0.5000 0.0000 x1  8 Ac 3.19

Results
Calculated formation energy in meV/atom: -13
M_tot in Bohr magnetons per cell: 0.0
Calculated density in Mg/m³: 8.41



A geometry-optimized Pu3ScP4 structure. Source: Alexandria, functional PBE.

a b c (Å): 5.5709 5.5709 5.5709
angles (deg): 90.00 90.00 90.00
Closest atoms and distances in Å follow each position.
Space group Pm-3m (No. 221)
Unique sites:
1 Pu 0.0000 0.0000 0.5000 x3  6 P 2.79
2 Sc 0.5000 0.5000 0.5000 x1  6 P 2.79
3 P 0.0000 0.0000 0.0000 x1  6 Pu 2.79
4 P 0.0000 0.5000 0.5000 x3  2 Sc 2.79, 4 Pu 2.79

Results
Calculated formation energy in meV/atom: -1210
M_tot in Bohr magnetons per cell: 14.8
Calculated density in Mg/m³: 8.65



A geometry-optimized Mg2BePb structure. Source: Alexandria, functional PBE.

a b c (Å): 6.9852 6.9852 6.9852
angles (deg): 90.00 90.00 90.00
Closest atoms and distances in Å follow each position.
Space group F-43m (No. 216)
Unique sites:
1 Mg 0.0000 0.0000 0.0000 x4  4 Pb 3.02, 4 Mg 3.02
2 Mg 0.2500 0.2500 0.2500 x4  4 Be 3.02, 4 Mg 3.02
3 Be 0.0000 0.0000 0.5000 x4  4 Pb 3.02, 4 Mg 3.02
4 Pb 0.2500 0.2500 0.7500 x4  4 Be 3.02, 4 Mg 3.02

Results
Calculated formation energy in meV/atom: 385
M_tot in Bohr magnetons per cell: 0.0
Calculated density in Mg/m³: 5.16



A geometry-optimized NaPdSe structure. Source: Alexandria, functional PBE.

a b c (Å): 4.4459 5.8707 5.9356
angles (deg): 74.68 89.74 89.85
Closest atoms and distances in Å follow each position.
Space group P1 (No. 1)
Unique sites:
1 Na 0.0000 0.0000 0.0000 x1  4 Se 2.95-3.25, 2 Pd 3.04-3.15
2 Na 0.4988 0.6340 0.5227 x1  4 Se 2.95-3.26, 2 Pd 3.04-3.15
3 Pd 0.0034 0.4442 0.1712 x1  3 Se 2.45-2.61, 2 Pd 2.73
4 Pd 0.5031 0.1902 0.3505 x1  3 Se 2.45-2.61, 2 Pd 2.73
5 Se 0.0027 0.0433 0.4931 x1  3 Pd 2.45-2.61
6 Se 0.5036 0.5914 0.0290 x1  3 Pd 2.45-2.61

Results
M_tot in Bohr magnetons per cell: 0.0
Energy relative to the elements, uncorrected in kJ/mol of formula units: -174
Calculated density in Mg/m³: 4.63



A geometry-optimized As2PbAu structure. Source: Alexandria, functional PBE.

a b c (Å): 3.5431 5.4460 9.5143
angles (deg): 90.00 90.00 90.00
Closest atoms and distances in Å follow each position.
Space group Cmm2 (No. 35)
Unique sites:
1 As 0.0000 0.0000 0.0000 x2  2 As 2.58, 2 Au 2.87
2 As 0.0000 0.5000 0.1969 x2  2 As 2.58
3 Pb 0.0000 0.0000 0.5103 x2  2 Au 2.99, 4 Pb 3.25
4 Au 0.0000 0.5000 0.7633 x2  2 As 2.87, 2 Pb 2.99

Results
Calculated formation energy in meV/atom: 291
M_tot in Bohr magnetons per cell: 0.0
Calculated density in Mg/m³: 10.02



A geometry-optimized LaNdCuSi structure. Source: Alexandria, functional PBE.

a b c (Å): 7.3017 7.3017 7.3017
angles (deg): 90.00 90.00 90.00
Closest atoms and distances in Å follow each position.
Space group F-43m (No. 216)
Unique sites:
1 La 0.0000 0.0000 0.0000 x4  4 Si 3.16, 4 Cu 3.16
2 Nd 0.0000 0.0000 0.5000 x4  4 Cu 3.16, 4 Si 3.16
3 Cu 0.2500 0.2500 0.7500 x4  4 La 3.16, 4 Nd 3.16
4 Si 0.2500 0.2500 0.2500 x4  4 Nd 3.16, 4 La 3.16

Results
M_tot in Bohr magnetons per cell: 0.0
Energy relative to the elements, uncorrected in kJ/mol of formula units: -143
Calculated density in Mg/m³: 6.39



A geometry-optimized La4TlInAg2 structure. Source: Alexandria, functional PBE.

a b c (Å): 5.5290 5.5290 27.1353
angles (deg): 90.00 90.00 120.00
Closest atoms and distances in Å follow each position.
Space group R-3m (No. 166, hexagonal axes)
Unique sites:
1 La 0.0000 0.0000 0.1251 x6  4 Ag 3.36-3.38, 3 In 3.39, 1 Tl 3.40
2 La 0.0000 0.0000 0.3753 x6  1 In 3.38, 3 Tl 3.39, 4 Ag 3.39-3.43
3 Tl 0.0000 0.0000 0.0000 x3  8 La 3.39-3.40
4 In 0.0000 0.0000 0.5000 x3  8 La 3.38-3.39
5 Ag 0.0000 0.0000 0.2488 x6  8 La 3.36-3.43

Results
Calculated formation energy in meV/atom: -360
M_tot in Bohr magnetons per cell: 2.1
Calculated density in Mg/m³: 7.56



A geometry-optimized CaFeP2S structure. Source: Alexandria, functional PBE.

a b c (Å): 4.2099 4.2099 5.3870
angles (deg): 90.00 90.00 90.00
Closest atoms and distances in Å follow each position.
Space group P4/mmm (No. 123)
Unique sites:
1 Ca 0.0000 0.0000 0.0000 x1  4 S 2.98
2 Fe 0.5000 0.5000 0.5000 x1  4 P 2.10
3 P 0.0000 0.5000 0.5000 x2  2 Fe 2.10
4 S 0.5000 0.5000 0.0000 x1  2 Fe 2.69, 4 Ca 2.98

Results
M_tot in Bohr magnetons per cell: 0.0
Energy relative to the elements, uncorrected in kJ/mol of formula units: -176
Calculated density in Mg/m³: 3.30



Among the records above, which one has the lowest calculated density? CaFeP2S



Number 3 is which compound? Y4AlBr